Here is a geometry-optimized RuPt2Au structure from the Alexandria database. Energies are from PBEsol.

* theoretical density: 19.10 Mg/m³
* energy: -6.8307 eV per atom
* SG: I4/mmm, No. 139
* ΔH_f (0 K): 0.18 eV/atom

Geometry as extended XYZ:
```
4
Lattice="-3.378 -1.098 -1.617 1.661 -3.314 -1.220 -0.178 0.449 4.777" Properties=species:S:1:pos:R:3 pbc="T T T"
Pt -2.207 -1.427 0.871
Pt 0.312 -2.535 1.069
Au -0.858 -2.206 -1.419
Ru 0.000 0.000 0.000
```

Here is a geometry-optimized RuPtAu2 structure from the Alexandria database. Energies are from PBEsol.

* theoretical density: 18.38 Mg/m³
* energy: -5.9081 eV per atom
* SG: I4/mmm, No. 139
* ΔH_f (0 K): 0.34 eV/atom

Geometry as extended XYZ:
```
4
Lattice="-1.523 3.481 1.182 -3.024 -0.458 -2.546 0.204 -3.365 3.473" Properties=species:S:1:pos:R:3 pbc="T T T"
Pt -2.273 1.512 -0.682
Au -2.547 -1.156 0.123
Au -1.796 0.814 1.987
Ru 0.000 0.000 0.000
```

Question: Among the records above, which one has the lowest energy?
Answer: RuPt2Au

Question: Which of these has the highest energy?
Answer: RuPtAu2